GeWO6: relaxed, PBE+U.

VASP energy ... -6.473 eV per atom
Crystal system ... cubic
D(E_F) ... 4.88 states/eV/cell
Total moment ... 0.00 μB per formula unit
Calculated volume ... 13.53 A^3/atom

a b c (Å): 5.3494 5.3494 5.3494
angles (deg): 60.00 60.00 60.00
With the nearest neighbours (Å) after each atom.
Fractional positions:
Ge  0.0000  0.0000  0.0000  6 O 1.86
W  0.5000  0.5000  0.5000  6 O 1.92
O  0.7538  0.7538  0.2462  1 Ge 1.86, 1 W 1.92
O  0.7538  0.2462  0.2462  1 Ge 1.86, 1 W 1.92
O  0.2462  0.7538  0.7538  1 Ge 1.86, 1 W 1.92
O  0.2462  0.2462  0.7538  1 Ge 1.86, 1 W 1.92
O  0.2462  0.7538  0.2462  1 Ge 1.86, 1 W 1.92
O  0.7538  0.2462  0.7538  1 Ge 1.86, 1 W 1.92